(1)
Here is a relaxed KTcRu2 crystal from Alexandria. Energies are from PBE.

DOS(E_F)   5.716 states/eV/f.u.
Symmetry   No. 25
Formation energy from the elements   0.792 eV per atom
Raw total energy   -6.712 eV/atom

Structure (CIF):
```
data_KTcRu2
_space_group_name_H-M_alt 'P 1'
_space_group_IT_number 1
_space_group_name_Hall 'P 1'
_cell_length_a 2.717
_cell_length_b 3.761
_cell_length_c 8.019
_cell_angle_alpha 90.00
_cell_angle_beta 90.00
_cell_angle_gamma 90.00
loop_
_atom_site_label
_atom_site_fract_x
_atom_site_fract_y
_atom_site_fract_z
K1 0.000 0.000 0.000
Tc1 0.500 0.500 0.645
Ru1 0.000 0.000 0.495
Ru2 0.500 0.500 0.331
```

=====

(2)
Here is a relaxed YMn2Br crystal from Alexandria. Energies are from PBE.

DOS(E_F)   4.036 states/eV/f.u.
Symmetry   No. 123
Raw total energy   -6.350 eV/atom
ΔE_f (raw)   0.269 eV/atom

Structure (CIF):
```
data_YMn2Br
_space_group_name_H-M_alt 'P 1'
_space_group_IT_number 1
_space_group_name_Hall 'P 1'
_cell_length_a 3.812
_cell_length_b 3.812
_cell_length_c 5.887
_cell_angle_alpha 90.00
_cell_angle_beta 90.00
_cell_angle_gamma 90.00
loop_
_atom_site_label
_atom_site_fract_x
_atom_site_fract_y
_atom_site_fract_z
Y1 0.000 0.000 0.000
Mn1 0.500 0.500 0.227
Mn2 0.500 0.500 0.773
Br1 0.000 0.000 0.500
```

=====

(3)
Here is a relaxed Ta8Nb2Ru3 crystal from Alexandria. Energies are from PBE.

DOS(E_F)   14.791 states/eV/f.u.
Symmetry   No. 12
Formation energy from the elements   0.317 eV per atom
Raw total energy   -10.667 eV/atom

Structure (CIF):
```
data_Ta8Nb2Ru3
_space_group_name_H-M_alt 'P 1'
_space_group_IT_number 1
_space_group_name_Hall 'P 1'
_cell_length_a 7.140
_cell_length_b 7.140
_cell_length_c 5.509
_cell_angle_alpha 97.04
_cell_angle_beta 97.04
_cell_angle_gamma 59.81
loop_
_atom_site_label
_atom_site_fract_x
_atom_site_fract_y
_atom_site_fract_z
Ta1 0.074 0.701 0.076
Ta2 0.100 0.100 0.417
Ta3 0.299 0.926 0.924
Ta4 0.307 0.307 0.740
Ta5 0.693 0.693 0.260
Ta6 0.701 0.074 0.076
Ta7 0.900 0.900 0.583
Ta8 0.926 0.299 0.924
Nb1 0.296 0.296 0.242
Nb2 0.704 0.704 0.758
Ru1 0.313 0.687 0.500
Ru2 0.500 0.500 0.000
Ru3 0.687 0.313 0.500
```

=====

(4)
Here is a relaxed SiHg crystal from Alexandria. Energies are from PBE.

DOS(E_F)   0.939 states/eV/f.u.
Symmetry   No. 227
Raw total energy   -2.246 eV/atom
ΔE_f (raw)   0.617 eV/atom

Structure (CIF):
```
data_SiHg
_space_group_name_H-M_alt 'P 1'
_space_group_IT_number 1
_space_group_name_Hall 'P 1'
_cell_length_a 4.901
_cell_length_b 4.901
_cell_length_c 4.901
_cell_angle_alpha 60.00
_cell_angle_beta 60.00
_cell_angle_gamma 60.00
loop_
_atom_site_label
_atom_site_fract_x
_atom_site_fract_y
_atom_site_fract_z
Si1 0.125 0.125 0.125
Si2 0.875 0.875 0.875
Hg1 0.375 0.375 0.375
Hg2 0.625 0.625 0.625
```

=====

(5)
Here is a relaxed Sr3CeB2O8 crystal from Alexandria. Energies are from PBE.

Symmetry   No. 164
Raw total energy   -7.380 eV/atom
ΔE_f (raw)   -2.809 eV/atom

Structure (CIF):
```
data_Sr3CeB2O8
_space_group_name_H-M_alt 'P 1'
_space_group_IT_number 1
_space_group_name_Hall 'P 1'
_cell_length_a 5.505
_cell_length_b 5.505
_cell_length_c 7.079
_cell_angle_alpha 90.00
_cell_angle_beta 90.00
_cell_angle_gamma 120.00
loop_
_atom_site_label
_atom_site_fract_x
_atom_site_fract_y
_atom_site_fract_z
Sr1 0.000 0.000 0.000
Sr2 0.333 0.667 0.702
Sr3 0.667 0.333 0.298
Ce1 0.000 0.000 0.500
B1 0.333 0.667 0.223
B2 0.667 0.333 0.777
O1 0.185 0.370 0.308
O2 0.185 0.815 0.308
O3 0.333 0.667 0.025
O4 0.370 0.185 0.692
O5 0.630 0.815 0.308
O6 0.667 0.333 0.975
O7 0.815 0.185 0.692
O8 0.815 0.630 0.692
```

=====

(6)
Here is a relaxed BiPtS3 crystal from Alexandria. Energies are from PBE.

DOS(E_F)   5.672 states/eV/f.u.
Symmetry   No. 221
Raw total energy   -3.205 eV/atom
ΔE_f (raw)   1.255 eV/atom

Structure (CIF):
```
data_BiPtS3
_space_group_name_H-M_alt 'P 1'
_space_group_IT_number 1
_space_group_name_Hall 'P 1'
_cell_length_a 5.166
_cell_length_b 5.166
_cell_length_c 5.166
_cell_angle_alpha 90.00
_cell_angle_beta 90.00
_cell_angle_gamma 90.00
loop_
_atom_site_label
_atom_site_fract_x
_atom_site_fract_y
_atom_site_fract_z
Bi1 0.000 0.000 0.000
Pt1 0.500 0.500 0.500
S1 0.000 0.000 0.500
S2 0.000 0.500 0.000
S3 0.500 0.000 0.000
```

=====

(7)
Here is a relaxed PrHoPb crystal from Alexandria. Energies are from PBE.

DOS(E_F)   4.370 states/eV/f.u.
Symmetry   No. 107
Formation energy from the elements   -0.281 eV per atom
Raw total energy   -4.637 eV/atom

Structure (CIF):
```
data_PrHoPb
_space_group_name_H-M_alt 'P 1'
_space_group_IT_number 1
_space_group_name_Hall 'P 1'
_cell_length_a 5.905
_cell_length_b 5.905
_cell_length_c 5.905
_cell_angle_alpha 138.40
_cell_angle_beta 138.40
_cell_angle_gamma 60.28
loop_
_atom_site_label
_atom_site_fract_x
_atom_site_fract_y
_atom_site_fract_z
Pr1 0.000 0.000 0.000
Ho1 0.316 0.316 0.000
Pb1 0.666 0.666 0.000
```

=====

(8)
Here is a relaxed SnGePb crystal from Alexandria. Energies are from PBE.

DOS(E_F)   1.188 states/eV/f.u.
Symmetry   No. 216
Formation energy from the elements   0.161 eV per atom
Raw total energy   -3.948 eV/atom

Structure (CIF):
```
data_SnGePb
_space_group_name_H-M_alt 'P 1'
_space_group_IT_number 1
_space_group_name_Hall 'P 1'
_cell_length_a 5.020
_cell_length_b 5.020
_cell_length_c 5.020
_cell_angle_alpha 60.00
_cell_angle_beta 60.00
_cell_angle_gamma 60.00
loop_
_atom_site_label
_atom_site_fract_x
_atom_site_fract_y
_atom_site_fract_z
Sn1 0.000 0.000 0.000
Ge1 0.750 0.750 0.750
Pb1 0.500 0.500 0.500
```